No. 1
{"formula": "AgSb2Te", "functional": "GGA-PBE", "state": "relaxed", "lattice_angstrom": [[-5.081, 1.420, 4.397], [-4.529, -4.305, 2.852], [6.667, 0.939, -1.356]], "species": ["Sb", "Sb", "Te", "Ag"], "fractional_positions": [[0.762, 0.262, 0.500], [0.937, 0.937, 0.000], [0.559, 0.559, 0.000], [0.243, 0.743, 0.500]], "final_energy_ha_per_atom": -0.1255, "volume_a3_per_fu": 109.72, "mass_density_g_cm3": 7.25}

---

No. 2
{"formula": "Hf4Ge2P", "functional": "GGA-PBE", "state": "relaxed", "lattice_angstrom": [[-1.562, 3.191, -1.285], [-5.953, -2.364, 1.367], [3.927, 1.777, 5.192]], "species": ["Ge", "Hf", "Hf", "Ge", "Hf", "Hf", "P"], "fractional_positions": [[0.756, 0.765, 0.512], [0.389, 0.696, 0.777], [0.888, 0.238, 0.776], [0.244, 0.235, 0.488], [0.611, 0.304, 0.223], [0.112, 0.762, 0.224], [0.000, 0.000, 0.000]], "final_energy_ha_per_atom": -0.3054, "e_above_lowest_polymorph_mev_per_atom": 0, "delta_e_f_kj_per_mol_fu": -358, "volume_a3_per_fu": 140.37, "mass_density_g_cm3": 10.53}

---

No. 3
{"formula": "LaPm2Y5Tm", "functional": "GGA-PBE", "state": "relaxed", "lattice_angstrom": [[-6.455, 5.120, 3.128], [-3.302, 0.804, -8.131], [0.478, -9.223, 3.669]], "species": ["La", "La", "Y", "Y", "Y", "Pm", "Tm", "Y", "Y", "Y", "Y", "Y", "Pm", "Y", "Pm", "Tm", "Pm", "Y"], "fractional_positions": [[0.750, 0.750, 0.500], [0.250, 0.250, 0.500], [0.343, 0.843, 0.271], [0.657, 0.157, 0.729], [0.157, 0.072, 0.729], [0.616, 0.116, 0.000], [0.750, 0.250, 0.500], [0.572, 0.657, 0.729], [0.000, 0.000, 0.000], [0.428, 0.343, 0.271], [0.500, 0.500, 0.000], [0.072, 0.572, 0.729], [0.116, 0.384, 0.000], [0.843, 0.928, 0.271], [0.884, 0.616, 0.000], [0.250, 0.750, 0.500], [0.384, 0.884, 0.000], [0.928, 0.428, 0.271]], "final_energy_ha_per_atom": -0.1999, "delta_e_f_kj_per_mol_fu": 219, "volume_a3_per_fu": 300.60, "mass_density_g_cm3": 5.76}